ThIn2Ni: relaxed, PBE.

Cell lengths 10.6010, 10.6010, 10.6010 Å; angles 17.97, 17.97, 17.97 degrees
Positions (direct):
Th  0.0000  0.0000  0.0000
In  0.1063  0.1063  0.1063
In  0.8937  0.8937  0.8937
Ni  0.5000  0.5000  0.5000

Results
The space group is No. 166. Its total magnetization is 0.0 μB/cell. The calculation puts the total energy at -4.406 eV per atom.

Th12InNi5: relaxed, PBE.

Cell lengths 8.5343, 8.5343, 8.5343 Å; angles 113.87, 112.62, 102.17 degrees
Positions (direct):
Th  0.0386  0.2182  0.8204
Th  0.1883  0.3006  0.4889
Th  0.1883  0.6994  0.8878
Th  0.3256  0.0210  0.6954
Th  0.3256  0.6301  0.3046
Th  0.3978  0.2182  0.1796
Th  0.6022  0.7818  0.8204
Th  0.6744  0.3699  0.6954
Th  0.6744  0.9790  0.3046
Th  0.8117  0.3006  0.1122
Th  0.8117  0.6994  0.5111
Th  0.9614  0.7818  0.1796
In  0.5000  0.5000  0.0000
Ni  0.0000  0.0000  0.0000
Ni  0.1237  0.6237  0.5000
Ni  0.3604  0.0000  0.3604
Ni  0.6396  0.0000  0.6396
Ni  0.8763  0.3763  0.5000

Results
The space group is No. 71. Its total magnetization is 0.0 μB/cell. The calculation puts the total energy at -6.899 eV per atom.

Th2In8Ni: relaxed, PBE.

Cell lengths 4.7202, 4.7202, 12.3542 Å; angles 90.00, 90.00, 90.00 degrees
Positions (direct):
Th  0.0000  0.0000  0.1940
Th  0.0000  0.0000  0.8060
In  0.0000  0.5000  0.0000
In  0.0000  0.5000  0.3816
In  0.0000  0.5000  0.6184
In  0.5000  0.0000  0.0000
In  0.5000  0.0000  0.3816
In  0.5000  0.0000  0.6184
In  0.5000  0.5000  0.1942
In  0.5000  0.5000  0.8058
Ni  0.0000  0.0000  0.5000

Results
The space group is No. 123. Its total magnetization is 0.0 μB/cell. The calculation puts the total energy at -4.155 eV per atom.

ThIn3Ni: relaxed, PBE.

Cell lengths 8.9178, 4.4406, 11.4884 Å; angles 90.00, 90.00, 90.00 degrees
Positions (direct):
Th  0.1857  0.2500  0.0036
Th  0.3143  0.7500  0.5036
Th  0.6857  0.2500  0.4964
Th  0.8143  0.7500  0.9964
In  0.0584  0.2500  0.5830
In  0.1120  0.7500  0.7952
In  0.1408  0.7500  0.2145
In  0.3592  0.2500  0.7145
In  0.3880  0.2500  0.2952
In  0.4416  0.7500  0.0830
In  0.5584  0.2500  0.9170
In  0.6120  0.7500  0.7048
In  0.6408  0.7500  0.2855
In  0.8592  0.2500  0.7855
In  0.8880  0.2500  0.2048
In  0.9416  0.7500  0.4170
Ni  0.1077  0.2500  0.3568
Ni  0.3923  0.7500  0.8568
Ni  0.6077  0.2500  0.1432
Ni  0.8923  0.7500  0.6432

Results
The space group is No. 62. Its total magnetization is 0.0 μB/cell. The calculation puts the total energy at -4.573 eV per atom.

ThIn3Ni2: relaxed, PBE.

Cell lengths 6.4949, 6.4949, 5.8326 Å; angles 90.00, 90.00, 86.19 degrees
Positions (direct):
Th  0.1060  0.8940  0.7500
Th  0.8940  0.1060  0.2500
In  0.0657  0.5964  0.2500
In  0.4036  0.9343  0.2500
In  0.4720  0.5280  0.7500
In  0.5280  0.4720  0.2500
In  0.5964  0.0657  0.7500
In  0.9343  0.4036  0.7500
Ni  0.2567  0.2567  0.0000
Ni  0.2567  0.2567  0.5000
Ni  0.7433  0.7433  0.0000
Ni  0.7433  0.7433  0.5000

Results
The space group is No. 63. Its total magnetization is 0.0 μB/cell. The calculation puts the total energy at -4.768 eV per atom.

Th2InNi6: relaxed, PBE.

Cell lengths 7.6769, 7.6769, 7.6769 Å; angles 153.47, 128.22, 59.11 degrees
Positions (direct):
Th  0.1386  0.1386  0.0000
Th  0.8614  0.8614  0.0000
In  0.5000  0.0000  0.5000
Ni  0.1375  0.3228  0.8147
Ni  0.1960  0.5000  0.6960
Ni  0.4918  0.6772  0.8147
Ni  0.5082  0.3228  0.1853
Ni  0.8040  0.5000  0.3040
Ni  0.8625  0.6772  0.1853

Results
The space group is No. 71. Its total magnetization is 0.0 μB/cell. The calculation puts the total energy at -5.883 eV per atom.

ThIn2Ni: relaxed, PBE.

Cell lengths 8.9171, 8.9171, 8.9171 Å; angles 149.36, 149.36, 43.88 degrees
Positions (direct):
Th  0.1472  0.1472  0.0000
Th  0.8528  0.8528  0.0000
In  0.0000  0.5000  0.5000
In  0.3480  0.3480  0.0000
In  0.5000  0.0000  0.5000
In  0.6520  0.6520  0.0000
Ni  0.2500  0.7500  0.5000
Ni  0.7500  0.2500  0.5000

Results
The space group is No. 139. Its total magnetization is 0.0 μB/cell. The calculation puts the total energy at -5.028 eV per atom.

ThIn7Ni5: relaxed, PBE.

Cell lengths 7.1547, 7.1547, 7.1547 Å; angles 134.92, 98.11, 98.79 degrees
Positions (direct):
Th  0.0000  0.0000  0.0000
In  0.2014  0.5001  0.7013
In  0.3058  0.9638  0.3420
In  0.3302  0.3302  0.0000
In  0.6218  0.9638  0.6580
In  0.6489  0.6489  0.0000
In  0.7558  0.2558  0.5000
In  0.7988  0.5001  0.2987
Ni  0.2083  0.7083  0.5000
Ni  0.4838  0.4757  0.4895
Ni  0.4838  0.9943  0.0080
Ni  0.9863  0.4757  0.9920
Ni  0.9863  0.9943  0.5105

Results
The space group is No. 44. Its total magnetization is 0.0 μB/cell. The calculation puts the total energy at -4.414 eV per atom.